Below is crystalline V2NiCl at its relaxed geometry, with properties calculated at the PBE level.

a b c (Å): 5.2189 5.2189 6.3823
angles (deg): 65.87 65.87 90.00
Atoms (fractional coordinates):
Ni  0.0000  0.0000  0.0000
Ni  0.7500  0.2500  0.5000
V  0.6422  0.1250  0.2500
V  0.1078  0.6250  0.2500
V  0.3750  0.3578  0.7500
V  0.8750  0.8922  0.7500
Cl  0.5000  0.5000  0.0000
Cl  0.2500  0.7500  0.5000

E above lowest polymorph = 0.183 eV/atom
Formation energy (no corrections) = 0.570 eV/atom
Energy = -5.90 eV/atom
Space group = No. 122
N(E_F) = 5.5 states/eV/cell